Record 1
# Ce5Sn2Au2

A relaxed structure of Ce5Sn2Au2 (PBE, the Alexandria database).

DFT formation energy = -0.498 eV per atom

abc: 8.1689 8.1847 8.8273
angles: 117.62 90.00 90.00
Atoms (fractional coordinates):
Ce  0.8286  0.5432  0.7382
Sn  0.0000  0.2092  0.4183
Au  0.1269  0.6259  0.0000
Ce  0.6714  0.3051  0.2618
Ce  0.3286  0.6949  0.7382
Sn  0.5000  0.7092  0.4183
Au  0.6269  0.8741  0.0000
Sn  0.0000  0.7908  0.5817
Ce  0.5000  0.5000  0.0000
Ce  0.3286  0.9568  0.2618
Ce  0.6714  0.0432  0.7382
Ce  0.0000  0.0000  0.0000
Au  0.8731  0.3741  0.0000
Sn  0.5000  0.2908  0.5817
Ce  0.8286  0.8051  0.2618
Au  0.3731  0.1259  0.0000
Ce  0.1714  0.4568  0.2618
Ce  0.1714  0.1949  0.7382

Record 2
# LaDy5Y2

A relaxed structure of LaDy5Y2 (PBE, the Alexandria database).

DFT formation energy = 0.023 eV per atom

abc: 7.1580 7.1619 20.1831
angles: 90.00 90.00 90.00
Atoms (fractional coordinates):
Y  0.2522  0.0000  0.5000
Dy  0.0000  0.2486  0.1254
La  0.0000  0.7521  0.1256
Dy  0.0000  0.7514  0.8746
Y  0.5000  0.2510  0.3747
Y  0.7478  0.5000  0.0000
La  0.0000  0.2479  0.8744
Dy  0.2523  0.5001  0.7504
Y  0.7478  0.0000  0.5000
Dy  0.7477  0.5001  0.7504
Y  0.2522  0.5000  0.0000
Dy  0.5000  0.2486  0.1253
Dy  0.0000  0.2514  0.6254
Dy  0.7478  0.5000  0.5000
Y  0.5000  0.7510  0.1253
Y  0.5000  0.7490  0.6253
Dy  0.7477  0.4999  0.2496
Y  0.5000  0.2490  0.8747
Dy  0.7477  0.9999  0.2504
Dy  0.7477  0.0001  0.7496
Dy  0.2523  0.4999  0.2496
Dy  0.2522  0.0000  0.0000
Dy  0.5000  0.2514  0.6253
Dy  0.2523  0.0001  0.7496
Dy  0.2523  0.9999  0.2504
Dy  0.2522  0.5000  0.5000
Dy  0.0000  0.7486  0.3746
Dy  0.5000  0.7486  0.3747
La  0.0000  0.7479  0.6256
Dy  0.5000  0.7514  0.8747
La  0.0000  0.2521  0.3744
Dy  0.7478  0.0000  0.0000

- The lowest DFT formation energy belongs to which entry?
  Ce5Sn2Au2